Entry 1:
This record from the Open Quantum Materials Database describes a geometry-optimized PrAl2Ge2 structure. The functional is PBE.

abc: 4.321 4.321 6.948
angles: 90.00 90.00 120.00
Sites, in units of the cell vectors:
Pr  0.000  0.000  0.000
Al  0.333  0.667  0.641
Al  0.667  0.333  0.359
Ge  0.333  0.667  0.268
Ge  0.667  0.333  0.732

Computed properties:
crystal system = trigonal
calculated volume = 22.5 Å³ per atom
energy = -4.746 eV per atom

Entry 2:
This record from the Open Quantum Materials Database describes a geometry-optimized PrAlGe structure. The functional is PBE.

abc: 6.719 6.719 6.719
angles: 90.00 90.00 90.00
Sites, in units of the cell vectors:
Pr  0.000  0.000  0.000
Pr  0.000  0.500  0.500
Pr  0.500  0.000  0.500
Pr  0.500  0.500  0.000
Al  0.250  0.250  0.750
Al  0.250  0.750  0.250
Al  0.750  0.250  0.250
Al  0.750  0.750  0.750
Ge  0.000  0.000  0.500
Ge  0.000  0.500  0.000
Ge  0.500  0.000  0.000
Ge  0.500  0.500  0.500

Computed properties:
crystal system = cubic
calculated volume = 25.3 Å³ per atom
energy = -4.498 eV per atom

Entry 3:
This record from the Open Quantum Materials Database describes a geometry-optimized PrAlGe structure. The functional is PBE.

abc: 6.990 6.990 6.990
angles: 90.00 90.00 90.00
Sites, in units of the cell vectors:
Pr  0.000  0.000  0.000
Pr  0.000  0.500  0.500
Pr  0.500  0.000  0.500
Pr  0.500  0.500  0.000
Al  0.250  0.250  0.750
Al  0.250  0.750  0.250
Al  0.750  0.250  0.250
Al  0.750  0.750  0.750
Ge  0.250  0.250  0.250
Ge  0.250  0.750  0.750
Ge  0.750  0.250  0.750
Ge  0.750  0.750  0.250

Computed properties:
crystal system = cubic
calculated volume = 28.5 Å³ per atom
energy = -4.323 eV per atom